Pa4MoO10 (PBE with a Hubbard U, optimized geometry); total magnetic moment = 0.13 μB per atom; volume = 196.2 Å³ per cell; DOS at the Fermi energy = 5.9 states/eV/f.u.; E = -142.05 eV/cell
1.0
1.942 1.121 15.018
-1.942 1.121 15.018
0.000 -2.242 15.018
Pa Mo O
4 1 10
Direct
0.106 0.106 0.106
0.298 0.298 0.298
0.702 0.702 0.702
0.894 0.894 0.894
0.500 0.500 0.500
0.052 0.052 0.052
0.152 0.152 0.152
0.247 0.247 0.247
0.351 0.351 0.351
0.450 0.450 0.450
0.550 0.550 0.550
0.649 0.649 0.649
0.753 0.753 0.753
0.848 0.848 0.848
0.948 0.948 0.948